1.
CdCoSn2Hg | PBE | optimized geometry

Output
SG: P4/mmm (123)
DFT total energy, eV per atom: -3.15

a = 4.8924 Å, b = 4.8924 Å, c = 5.1637 Å
α = 90.00°, β = 90.00°, γ = 90.00°
Last column: nearest neighbours and their distance in Å.
Positions (direct):
Cd 0.0000 0.0000 0.0000  4 Hg 3.46, 8 Sn 3.56
Co 0.5000 0.5000 0.5000  4 Sn 2.45, 2 Hg 2.58
Sn 0.0000 0.5000 0.5000  2 Co 2.45
Sn 0.5000 0.0000 0.5000  2 Co 2.45
Hg 0.5000 0.5000 0.0000  2 Co 2.58

***

2.
Y2IrPd2 | PBE | optimized geometry

Output
SG: P4/mbm (127)
DFT total energy, eV per atom: -7.10

a = 7.1954 Å, b = 7.1954 Å, c = 3.9548 Å
α = 90.00°, β = 90.00°, γ = 90.00°
Last column: nearest neighbours and their distance in Å.
Positions (direct):
Y 0.1810 0.3190 0.0000  6 Pd 2.76-3.01
Y 0.3190 0.8190 0.0000  6 Pd 2.76-3.01
Y 0.6810 0.1810 0.0000  6 Pd 2.76-3.01
Y 0.8190 0.6810 0.0000  6 Pd 2.76-3.01
Ir 0.0000 0.0000 0.5000  4 Pd 2.82
Ir 0.5000 0.5000 0.5000  4 Pd 2.82
Pd 0.1302 0.6302 0.5000  1 Pd 2.65, 2 Y 2.76, 2 Ir 2.82
Pd 0.3698 0.1302 0.5000  1 Pd 2.65, 2 Y 2.76, 2 Ir 2.82
Pd 0.6302 0.8698 0.5000  1 Pd 2.65, 2 Y 2.76, 2 Ir 2.82
Pd 0.8698 0.3698 0.5000  1 Pd 2.65, 2 Y 2.76, 2 Ir 2.82

***

3.
LaThBN3 | PBE | optimized geometry

Output
SG: P6_3/mmc (194)
Energy relative to the elements, uncorrected, meV per atom: -1173.9

a = 5.5039 Å, b = 5.5039 Å, c = 7.0729 Å
α = 90.00°, β = 90.00°, γ = 120.00°
Last column: nearest neighbours and their distance in Å.
Positions (direct):
La 0.3333 0.6667 0.2500  6 N 2.75
La 0.6667 0.3333 0.7500  6 N 2.75
Th 0.0000 0.0000 0.0000  6 N 2.46
Th 0.0000 0.0000 0.5000  6 N 2.46
B 0.3333 0.6667 0.7500  3 N 1.47
B 0.6667 0.3333 0.2500  3 N 1.47
N 0.1790 0.3580 0.7500  1 B 1.47
N 0.1790 0.8210 0.7500  1 B 1.47
N 0.3580 0.1790 0.2500  1 B 1.47
N 0.6420 0.8210 0.7500  1 B 1.47
N 0.8210 0.1790 0.2500  1 B 1.47
N 0.8210 0.6420 0.2500  1 B 1.47

***

4.
ThPt2Rh | PBE | optimized geometry

Output
SG: Fm-3m (225)
DFT total energy, eV per atom: -7.36

a = 4.7863 Å, b = 4.7863 Å, c = 4.7863 Å
α = 60.00°, β = 60.00°, γ = 60.00°
Last column: nearest neighbours and their distance in Å.
Positions (direct):
Th 0.0000 0.0000 0.0000  8 Pt 2.93
Pt 0.2500 0.2500 0.2500  4 Th 2.93, 4 Rh 2.93
Pt 0.7500 0.7500 0.7500  4 Rh 2.93, 4 Th 2.93
Rh 0.5000 0.5000 0.5000  8 Pt 2.93

***

5.
Sr3Ga2SnAu6 | PBE | optimized geometry

Output
SG: P-3m1 (164)
DFT total energy, eV per atom: -3.39

a = 6.5584 Å, b = 6.5584 Å, c = 8.4661 Å
α = 90.00°, β = 90.00°, γ = 120.00°
Last column: nearest neighbours and their distance in Å.
Positions (direct):
Sr 0.0000 0.0000 0.0000  6 Au 3.20
Sr 0.3333 0.6667 0.6419  9 Au 3.34-3.46, 1 Ga 3.34
Sr 0.6667 0.3333 0.3581  9 Au 3.34-3.46, 1 Ga 3.34
Ga 0.3333 0.6667 0.0370  3 Au 2.69
Ga 0.6667 0.3333 0.9630  3 Au 2.69
Sn 0.0000 0.0000 0.5000  6 Au 2.79
Au 0.1856 0.3711 0.2846  1 Ga 2.69, 1 Sn 2.79, 2 Au 2.91
Au 0.1856 0.8144 0.2846  1 Ga 2.69, 1 Sn 2.79, 2 Au 2.91
Au 0.3711 0.1856 0.7154  1 Ga 2.69, 1 Sn 2.79, 2 Au 2.91
Au 0.6289 0.8144 0.2846  1 Ga 2.69, 1 Sn 2.79, 2 Au 2.91
Au 0.8144 0.1856 0.7154  1 Ga 2.69, 1 Sn 2.79, 2 Au 2.91
Au 0.8144 0.6289 0.7154  1 Ga 2.69, 1 Sn 2.79, 2 Au 2.91

***

6.
Nd5Ho12Er | PBE | optimized geometry

Output
SG: C2/m (12)
DFT total energy, eV per atom: -4.54

a = 10.4171 Å, b = 10.4171 Å, c = 5.7328 Å
α = 90.00°, β = 90.00°, γ = 111.52°
Last column: nearest neighbours and their distance in Å.
Positions (direct):
Nd 0.0000 0.0000 0.0000  10 Ho 3.54-3.72, 4 Nd 3.74
Nd 0.1399 0.8601 0.5000  8 Ho 3.37-3.63, 2 Nd 3.74
Nd 0.3631 0.6369 0.0000  8 Ho 3.31-3.65
Nd 0.6369 0.3631 0.0000  8 Ho 3.31-3.65
Nd 0.8601 0.1399 0.5000  8 Ho 3.37-3.63, 2 Nd 3.74
Ho 0.0248 0.6663 0.0003  5 Ho 3.31-3.63, 4 Nd 3.46-3.65
Ho 0.1660 0.5220 0.4997  5 Ho 3.32-3.66, 3 Nd 3.47-3.63, 1 Er 3.57
Ho 0.2012 0.2012 0.5014  2 Ho 3.10, 2 Nd 3.37
Ho 0.3020 0.3020 0.0015  2 Ho 3.10, 2 Nd 3.31
Ho 0.3337 0.9752 0.9997  5 Ho 3.31-3.63, 4 Nd 3.46-3.65
Ho 0.4780 0.8340 0.5003  5 Ho 3.32-3.66, 3 Nd 3.47-3.63, 1 Er 3.57
Ho 0.5220 0.1660 0.4997  5 Ho 3.32-3.66, 3 Nd 3.47-3.63, 1 Er 3.57
Ho 0.6663 0.0248 0.0003  5 Ho 3.31-3.63, 4 Nd 3.46-3.65
Ho 0.6980 0.6980 0.9985  2 Ho 3.10, 2 Nd 3.31
Ho 0.7988 0.7988 0.4986  2 Ho 3.10, 2 Nd 3.37
Ho 0.8340 0.4780 0.5003  5 Ho 3.32-3.66, 3 Nd 3.47-3.63, 1 Er 3.57
Ho 0.9752 0.3337 0.9997  5 Ho 3.31-3.63, 4 Nd 3.46-3.65
Er 0.5000 0.5000 0.5000  10 Ho 3.50-3.70, 4 Nd 3.71

***

7.
Ta4MnAg | PBE | optimized geometry

Output
SG: F-43m (216)
DFT total energy, eV per atom: -9.31

a = 5.4343 Å, b = 5.4343 Å, c = 5.4343 Å
α = 60.00°, β = 60.00°, γ = 60.00°
Last column: nearest neighbours and their distance in Å.
Positions (direct):
Ta 0.1242 0.1242 0.1242  6 Ta 2.70-2.74
Ta 0.1242 0.1242 0.6275  6 Ta 2.70-2.74
Ta 0.1242 0.6275 0.1242  6 Ta 2.70-2.74
Ta 0.6275 0.1242 0.1242  6 Ta 2.70-2.74
Mn 0.7500 0.7500 0.7500  12 Ta 3.18, 4 Ag 3.33
Ag 0.5000 0.5000 0.5000  12 Ta 3.19, 4 Mn 3.33

***

8.
TmHfPd6 | PBE | optimized geometry

Output
SG: P4/mmm (123)
DFT total energy, eV per atom: -6.62

a = 4.0490 Å, b = 4.0490 Å, c = 8.1034 Å
α = 90.00°, β = 90.00°, γ = 90.00°
Last column: nearest neighbours and their distance in Å.
Positions (direct):
Tm 0.0000 0.0000 0.0000  12 Pd 2.86-2.91
Hf 0.0000 0.0000 0.5000  12 Pd 2.82-2.86
Pd 0.0000 0.5000 0.2584  8 Pd 2.82-2.91, 2 Hf 2.82, 2 Tm 2.91
Pd 0.0000 0.5000 0.7416  8 Pd 2.82-2.91, 2 Hf 2.82, 2 Tm 2.91
Pd 0.5000 0.0000 0.2584  8 Pd 2.82-2.91, 2 Hf 2.82, 2 Tm 2.91
Pd 0.5000 0.0000 0.7416  8 Pd 2.82-2.91, 2 Hf 2.82, 2 Tm 2.91
Pd 0.5000 0.5000 0.0000  4 Tm 2.86, 8 Pd 2.91
Pd 0.5000 0.5000 0.5000  8 Pd 2.82, 4 Hf 2.86